Compound: Na4V2PC4O16
Source: the Alexandria database
Functional: GGA-PBEsol
Structure: optimized geometry

The space group is Fddd (No. 70, origin choice 2) and the conventional cell measures 13.644, 13.692 and 14.231 Å, with angles of 90.00, 90.00 and 90.00 degrees. The asymmetric unit holds Na at (0.081, 0.375, 0.375), Na at (0.125, 0.331, 0.125), V at (0.000, 0.000, 0.500), P at (0.125, 0.125, 0.125), C at (0.036, 0.037, 0.707), O at (0.018, 0.109, 0.763), O at (0.020, 0.272, 0.885), O at (0.059, 0.058, 0.064) and O at (0.108, 0.272, 0.526).

The value obtained for the total energy is -7.398 eV/atom. For the energy relative to the elements, uncorrected, the calculation gives -1.723 eV/atom.